Compound: CrMo4
Source: Alexandria via LeMat-Bulk
Functional: GGA-PBEsol
Structure: relaxed

Structure (POSCAR):
```
CrMo4
1.0
-2.3312 -0.6567 1.8960
0.4182 -4.9077 1.3092
1.5801 0.9217 4.7569
Cr Mo
1 4
Direct
0.0000 0.0000 0.0000
0.7961 0.6041 0.8037
0.2039 0.3959 0.1963
0.5998 0.1963 0.6041
0.4002 0.8037 0.3959
```

Results
Its volume is 14.5 A^3/atom. The value obtained for the energy of formation from the pure elements is 0.057 eV per atom. The electronic total energy is -0.838 Ry/atom. The calculated density comes out at 10.0 g cm⁻³. Its space group is I4/m, No. 87.